1.
Entry from Alexandria: a relaxed structure of HfZrP2 (PBE-GGA).

a = 3.7240 Å, b = 3.7240 Å, c = 18.2585 Å
α = 90.00°, β = 90.00°, γ = 120.00°
Space group R-3m (No. 166, hexagonal axes)
Unique sites:
Hf: 0.0000 0.0000 0.0000 (multiplicity 3)
Zr: 0.0000 0.0000 0.5000 (multiplicity 3)
P: 0.0000 0.0000 0.2516 (multiplicity 6)

Results
Crystal system: trigonal

=====

2.
Entry from Alexandria: a relaxed structure of HfZrP2 (PBE-GGA).

a = 6.495 Å, b = 6.495 Å, c = 6.495 Å
α = 90.00°, β = 90.00°, γ = 90.00°
Space group Fm-3m (No. 225)
Unique sites:
Hf: 0.000 0.000 0.000 (multiplicity 4)
Zr: 0.000 0.000 0.500 (multiplicity 4)
P: 0.250 0.250 0.250 (multiplicity 8)

Results
Crystal system: cubic

=====

3.
Entry from Alexandria: a relaxed structure of Hf2ZrP2 (PBE-GGA).

a = 8.813 Å, b = 9.895 Å, c = 5.154 Å
α = 90.00°, β = 117.78°, γ = 90.00°
Space group C2/c (No. 15)
Unique sites:
Hf: 0.186 0.100 0.498 (multiplicity 8)
Zr: 0.000 0.390 0.750 (multiplicity 4)
P: 0.000 0.116 0.750 (multiplicity 4)
P: 0.000 0.318 0.250 (multiplicity 4)

Results
Crystal system: monoclinic

=====

4.
Entry from Alexandria: a relaxed structure of HfZrP2 (PBE-GGA).

a = 3.6607 Å, b = 3.6607 Å, c = 19.0711 Å
α = 90.00°, β = 90.00°, γ = 120.00°
Space group R3m (No. 160, hexagonal axes)
Unique sites:
Hf: 0.0000 0.0000 0.0000 (multiplicity 3)
Zr: 0.0000 0.0000 0.8225 (multiplicity 3)
P: 0.0000 0.0000 0.4095 (multiplicity 3)
P: 0.0000 0.0000 0.5801 (multiplicity 3)

Results
Crystal system: trigonal

=====

no.,DFT total energy (eV/atom),total magnetization (μB per formula unit),relative energy among the computed polymorphs (meV/atom)
1,-8.61,0.00,30.0
2,-8.20,0.00,441.9
3,-8.66,0.00,315.3
4,-8.64,0.00,0.0